1.
Crystalline Sr2Li2CuGe4 at its relaxed geometry. Source: Alexandria via LeMat-Bulk, functional PBE-GGA.

Cell lengths 6.346, 6.346, 9.422 Å; angles 90.00, 90.00, 90.00 degrees
Space group I4/mmm (No. 139)
Unique sites:
Sr: 0.000 0.500 0.250
Li: 0.000 0.000 0.210
Cu: 0.000 0.000 0.500
Ge: 0.214 0.214 0.000

---

2.
Crystalline DyCu2Rh4 at its relaxed geometry. Source: Alexandria via LeMat-Bulk, functional PBE-GGA.

Cell lengths 8.275, 6.636, 4.967 Å; angles 90.00, 126.75, 90.00 degrees
Space group C2/m (No. 12)
Unique sites:
Dy: 0.000 0.000 0.000
Cu: 0.000 0.500 0.250
Rh: 0.196 0.196 0.696

---

3.
Crystalline Ac2ScInRh6 at its relaxed geometry. Source: Alexandria via LeMat-Bulk, functional PBE-GGA.

Cell lengths 9.686, 9.686, 9.686 Å; angles 90.00, 90.00, 90.00 degrees
Space group Fm-3m (No. 225)
Unique sites:
Ac: 0.250 0.250 0.250
Sc: 0.000 0.000 0.000
In: 0.000 0.000 0.500
Rh: 0.000 0.000 0.242

---

no.,calculated density (g/cm3),ΔE_f (kcal/mol of atoms)
1,4.76,-7.353
2,10.65,-4.726
3,9.00,-0.616